Ba2CdTe2 | PBE-GGA | relaxed

Unit cell a=9.5446 b=9.5446 c=4.4379 alpha=90.00 beta=90.00 gamma=90.00
Sites, in units of the cell vectors:
1 Ba 0.1461 0.3539 0.0000
2 Ba 0.3539 0.8539 0.0000
3 Ba 0.6461 0.1461 0.0000
4 Ba 0.8539 0.6461 0.0000
5 Cd 0.0000 0.0000 0.0000
6 Cd 0.5000 0.5000 0.0000
7 Te 0.1553 0.6553 0.5000
8 Te 0.3447 0.1553 0.5000
9 Te 0.6553 0.8447 0.5000
10 Te 0.8447 0.3447 0.5000

Crystal system = tetragonal
Excess energy over the best structure of this formula in the dataset = 0 meV/atom
Raw formation energy = -1206 meV/atom



BaCdTe | PBE-GGA | relaxed

Unit cell a=5.7919 b=5.7919 c=5.7919 alpha=60.00 beta=60.00 gamma=60.00
Sites, in units of the cell vectors:
1 Ba 0.0000 0.0000 0.0000
2 Cd 0.5000 0.5000 0.5000
3 Te 0.2500 0.2500 0.2500

Crystal system = cubic
Excess energy over the best structure of this formula in the dataset = 122 meV/atom
Raw formation energy = -743 meV/atom



BaCdTe3 | PBE-GGA | relaxed

Unit cell a=6.7166 b=6.7166 c=6.7166 alpha=90.00 beta=90.00 gamma=90.00
Sites, in units of the cell vectors:
1 Ba 0.0000 0.0000 0.0000
2 Cd 0.5000 0.5000 0.5000
3 Te 0.0000 0.0000 0.5000
4 Te 0.0000 0.5000 0.0000
5 Te 0.5000 0.0000 0.0000

Crystal system = cubic
Excess energy over the best structure of this formula in the dataset = 759 meV/atom
Raw formation energy = 241 meV/atom



Ba2CdTe4 | PBE-GGA | relaxed

Unit cell a=9.6806 b=9.6806 c=9.6806 alpha=146.11 beta=146.11 gamma=48.69
Sites, in units of the cell vectors:
1 Ba 0.1345 0.1345 0.0000
2 Ba 0.8655 0.8655 0.0000
3 Cd 0.5000 0.5000 0.0000
4 Te 0.0000 0.5000 0.5000
5 Te 0.3286 0.3286 0.0000
6 Te 0.5000 0.0000 0.5000
7 Te 0.6714 0.6714 0.0000

Crystal system = tetragonal
Raw formation energy = -842 meV/atom



BaCdTe3 | PBE-GGA | relaxed

Unit cell a=5.6967 b=5.6967 c=5.6967 alpha=90.00 beta=90.00 gamma=90.00
Sites, in units of the cell vectors:
1 Ba 0.0000 0.0000 0.0000
2 Cd 0.5000 0.5000 0.5000
3 Te 0.0000 0.5000 0.5000
4 Te 0.5000 0.0000 0.5000
5 Te 0.5000 0.5000 0.0000

Crystal system = cubic
Excess energy over the best structure of this formula in the dataset = 0 meV/atom
Raw formation energy = -518 meV/atom



Ba2CdTe2 | PBE-GGA | relaxed

Unit cell a=8.0105 b=8.0105 c=8.0105 alpha=132.08 beta=132.08 gamma=70.10
Sites, in units of the cell vectors:
1 Ba 0.2500 0.7500 0.5000
2 Ba 0.7500 0.2500 0.5000
3 Cd 0.0000 0.0000 0.0000
4 Te 0.3287 0.3287 0.0000
5 Te 0.6713 0.6713 0.0000

Crystal system = tetragonal
Excess energy over the best structure of this formula in the dataset = 202 meV/atom
Raw formation energy = -1004 meV/atom



Ba2CdTe2 | PBE-GGA | relaxed

Unit cell a=9.4974 b=9.4974 c=4.4462 alpha=90.00 beta=90.00 gamma=90.00
Sites, in units of the cell vectors:
1 Ba 0.1527 0.3473 0.0000
2 Ba 0.3473 0.8473 0.0000
3 Ba 0.6527 0.1527 0.0000
4 Ba 0.8473 0.6527 0.0000
5 Cd 0.0000 0.0000 0.5000
6 Cd 0.5000 0.5000 0.5000
7 Te 0.1493 0.6493 0.5000
8 Te 0.3507 0.1493 0.5000
9 Te 0.6493 0.8507 0.5000
10 Te 0.8507 0.3507 0.5000

Crystal system = tetragonal
Excess energy over the best structure of this formula in the dataset = 11 meV/atom
Raw formation energy = -1195 meV/atom



BaCd3Te | PBE-GGA | relaxed

Unit cell a=5.8157 b=5.8157 c=5.8157 alpha=90.00 beta=90.00 gamma=90.00
Sites, in units of the cell vectors:
1 Ba 0.0000 0.0000 0.0000
2 Cd 0.0000 0.5000 0.5000
3 Cd 0.5000 0.0000 0.5000
4 Cd 0.5000 0.5000 0.0000
5 Te 0.5000 0.5000 0.5000

Crystal system = cubic
Excess energy over the best structure of this formula in the dataset = 0 meV/atom
Raw formation energy = 77 meV/atom



no.,spin magnetization (μB per cell)
1,0.00
2,0.00
3,4.00
4,0.00
5,0.00
6,0.00
7,0.00
8,0.00